No. 1
The following is a DFT calculation (SCAN) of a crystal of ScSn2Ir2 relaxed with PBEsol.

Structure (extended XYZ):
```
5
Lattice="4.061 0.000 0.000 0.000 4.061 0.000 -2.031 -2.031 6.000" Properties=species:S:1:pos:R:3 pbc="T T T"
Sn 0.000 2.031 3.000
Ir 0.000 0.000 4.786
Sc 0.000 0.000 0.000
Ir 2.031 2.031 1.214
Sn 2.031 0.000 3.000
```

Output
Energy = -46.0339 eV/atom
Energy of formation from the pure elements = -378.4 meV per atom
Total magnetic moment = 0.00 μB/cell
DOS(E_F) = 3.00 states/eV/cell
Volume = 19.79 Å³/atom

No. 2
The following is a DFT calculation (SCAN) of a crystal of Sc2SnIr relaxed with PBEsol.

Structure (extended XYZ):
```
4
Lattice="3.537 0.000 0.000 1.768 3.063 0.000 1.768 1.021 9.048" Properties=species:S:1:pos:R:3 pbc="T T T"
Sc 1.768 1.021 6.084
Ir 3.537 2.042 4.524
Sn 0.000 0.000 0.000
Sc 5.305 3.063 2.964
```

Output
Energy = -34.2267 eV/atom
Energy of formation from the pure elements = -353.1 meV per atom
Total magnetic moment = 0.00 μB/cell
DOS(E_F) = 2.41 states/eV/cell
Volume = 24.50 Å³/atom

No. 3
The following is a DFT calculation (SCAN) of a crystal of ScSn3Ir relaxed with PBEsol.

Structure (extended XYZ):
```
5
Lattice="5.185 0.000 0.000 0.000 5.185 0.000 0.000 0.000 5.185" Properties=species:S:1:pos:R:3 pbc="T T T"
Sn 0.000 2.593 0.000
Sc 0.000 0.000 0.000
Ir 2.593 2.593 2.593
Sn 0.000 0.000 2.593
Sn 2.593 0.000 0.000
```

Output
Energy = -37.2667 eV/atom
Energy of formation from the pure elements = 1353.2 meV per atom
Total magnetic moment = 1.92 μB/cell
DOS(E_F) = 4.78 states/eV/cell
Volume = 27.88 Å³/atom

No. 4
The following is a DFT calculation (SCAN) of a crystal of SrScIr2 relaxed with PBEsol.

Structure (extended XYZ):
```
4
Lattice="-0.708 -1.453 -2.474 4.497 -2.466 0.161 -2.953 -2.447 4.046" Properties=species:S:1:pos:R:3 pbc="T T T"
Sc -1.251 -3.925 2.663
Ir -0.150 -0.299 0.219
Sr 1.797 -3.666 1.639
Ir -0.617 -2.882 0.104
```

Output
Energy = -44.9566 eV/atom
Polymorph energy (0 for the lowest one) = 0.0 meV/atom
Energy of formation from the pure elements = -278.9 meV per atom
Total magnetic moment = 0.00 μB/cell
DOS(E_F) = 1.93 states/eV/cell
Volume = 19.79 Å³/atom

No. 5
The following is a DFT calculation (SCAN) of a crystal of SrScIr2 relaxed with PBEsol.

Structure (extended XYZ):
```
4
Lattice="4.058 0.000 0.000 0.000 4.058 0.000 -2.029 -2.029 4.563" Properties=species:S:1:pos:R:3 pbc="T T T"
Sc 2.029 2.029 0.000
Ir 2.029 0.000 2.281
Sr 0.000 2.029 2.281
Ir 0.000 0.000 0.000
```

Output
Energy = -44.6663 eV/atom
Polymorph energy (0 for the lowest one) = 290.3 meV/atom
Energy of formation from the pure elements = 11.4 meV per atom
Total magnetic moment = 0.00 μB/cell
DOS(E_F) = 3.30 states/eV/cell
Volume = 18.78 Å³/atom

No. 6
The following is a DFT calculation (SCAN) of a crystal of SrScIr relaxed with PBEsol.

Structure (extended XYZ):
```
3
Lattice="4.611 0.000 0.000 2.306 3.994 0.000 2.306 1.331 3.765" Properties=species:S:1:pos:R:3 pbc="T T T"
Sc 2.306 1.331 0.941
Sr 0.000 0.000 0.000
Ir 4.611 2.662 1.883
```

Output
Energy = -35.6888 eV/atom
Polymorph energy (0 for the lowest one) = 526.5 meV/atom
Energy of formation from the pure elements = 181.7 meV per atom
Total magnetic moment = 0.00 μB/cell
DOS(E_F) = 1.26 states/eV/cell
Volume = 23.11 Å³/atom

Question: Which value of total magnetic moment does entry 3 give?
Answer: 1.92 μB/cell

Question: Number 2 is which compound?
Answer: Sc2SnIr

Question: The highest volume belongs to which entry?
Answer: ScSn3Ir